Entry 1:
Material: AlSi2Pt
Method: DFT, GGA-PBEsol
State: relaxed

Output
- calculated density (g/cm³) = 7.93
- density of states at the Fermi level (states/eV per cell) = 1.41
- SG = P4/mmm (123)
- formation energy (no corrections) (kJ/mol of formula units) = -32

Geometry as extended XYZ:
```
4
Lattice="-0.465 0.860 3.657 1.438 -3.364 0.974 3.729 1.621 0.094" Properties=species:S:1:pos:R:3 pbc="T T T"
Si -0.233 0.430 1.828
Al 2.351 -0.441 2.362
Pt 1.865 0.811 0.047
Si 0.719 -1.682 0.487
```

Entry 2:
Material: TiBr3N
Method: DFT, GGA-PBEsol
State: relaxed

Output
- calculated density (g/cm³) = 5.20
- density of states at the Fermi level (states/eV per cell) = 6.59
- SG = Pm-3m (221)
- formation energy (no corrections) (kJ/mol of formula units) = 371

Geometry as extended XYZ:
```
5
Lattice="-0.891 0.955 4.393 4.217 -1.376 1.154 1.559 4.266 -0.611" Properties=species:S:1:pos:R:3 pbc="T T T"
N 0.000 0.000 0.000
Br 0.780 2.133 -0.305
Ti 2.442 1.922 2.468
Br -0.445 0.477 2.197
Br 2.108 -0.688 0.577
```

Entry 3:
Material: GaPd3Ru
Method: DFT, GGA-PBEsol
State: relaxed

Output
- calculated density (g/cm³) = 9.04
- calculated formation energy (eV per atom) = 0.936
- density of states at the Fermi level (states/eV per cell) = 6.94
- SG = Pm-3m (221)

Geometry as extended XYZ:
```
5
Lattice="4.482 0.000 0.000 0.000 4.482 0.000 0.000 0.000 4.482" Properties=species:S:1:pos:R:3 pbc="T T T"
Pd 0.000 0.000 2.241
Ga 0.000 0.000 0.000
Ru 2.241 2.241 2.241
Pd 2.241 0.000 0.000
Pd 0.000 2.241 0.000
```

Entry 4:
Material: ZrTa3I
Method: DFT, GGA-PBEsol
State: relaxed

Output
- calculated density (g/cm³) = 10.64
- density of states at the Fermi level (states/eV per cell) = 4.13
- SG = Pm-3m (221)
- formation energy (no corrections) (kJ/mol of formula units) = 854

Geometry as extended XYZ:
```
5
Lattice="4.915 0.000 0.000 0.000 4.915 0.000 0.000 0.000 4.915" Properties=species:S:1:pos:R:3 pbc="T T T"
Ta 2.458 0.000 0.000
Zr 2.458 2.458 2.458
Ta 0.000 0.000 2.458
I 0.000 0.000 0.000
Ta 0.000 2.458 0.000
```

Entry 5:
Material: LiMo3
Method: DFT, GGA-PBEsol
State: relaxed

Output
- calculated density (g/cm³) = 7.87
- polymorph energy (0 for the lowest one) (eV/atom) = 0.2020
- calculated formation energy (eV per atom) = 0.475
- density of states at the Fermi level (states/eV per cell) = 3.75
- SG = P-6m2 (187)

Geometry as extended XYZ:
```
4
Lattice="2.708 0.000 0.000 -1.354 2.346 0.000 0.000 0.000 9.795" Properties=species:S:1:pos:R:3 pbc="T T T"
Mo 0.000 1.564 7.294
Li 0.000 0.000 0.000
Mo 0.000 1.564 2.501
Mo 0.000 0.000 4.898
```

Entry 6:
Material: AlCdW2
Method: DFT, GGA-PBEsol
State: relaxed

Output
- calculated density (g/cm³) = 12.98
- polymorph energy (0 for the lowest one) (eV/atom) = 0.0112
- calculated formation energy (eV per atom) = 0.290
- density of states at the Fermi level (states/eV per cell) = 1.39
- SG = Pm (6)

Geometry as extended XYZ:
```
4
Lattice="2.763 0.000 0.008 0.000 4.497 0.000 -0.686 0.000 5.220" Properties=species:S:1:pos:R:3 pbc="T T T"
W 2.631 0.000 0.075
Cd 0.430 2.248 3.913
Al 0.844 0.000 2.544
W 1.974 2.248 1.318
```

Entry 7:
Material: FeSbSe
Method: DFT, GGA-PBEsol
State: relaxed

Output
- calculated density (g/cm³) = 8.15
- SG = P2_1/c (14)
- formation energy (no corrections) (kJ/mol of formula units) = -106

Geometry as extended XYZ:
```
12
Lattice="-4.423 1.652 -3.748 -2.590 -5.551 0.609 -1.951 4.146 4.130" Properties=species:S:1:pos:R:3 pbc="T T T"
Se -1.642 0.781 0.916
Se -5.381 -2.968 -1.172
Sb -4.971 -0.046 -2.490
Sb -4.975 1.664 0.397
Fe -3.102 0.487 -0.882
Se -3.582 3.215 2.163
Sb -3.988 -1.417 0.593
Sb -3.992 0.293 3.481
Fe -7.015 -1.518 -1.996
Se -7.321 -0.534 0.075
Fe -1.948 1.765 2.987
Fe -5.861 -0.240 1.873
```

Entry 8:
Material: GaFe3
Method: DFT, GGA-PBEsol
State: relaxed

Output
- calculated density (g/cm³) = 8.57
- calculated formation energy (eV per atom) = -0.117
- density of states at the Fermi level (states/eV per cell) = 6.79
- SG = P6_3/mmc (194)

Geometry as extended XYZ:
```
8
Lattice="-1.226 -0.284 -3.905 -0.468 -5.040 0.514 -3.951 3.039 1.019" Properties=species:S:1:pos:R:3 pbc="T T T"
Ga -3.709 0.133 -2.078
Fe -1.701 -1.340 -2.601
Fe -3.999 -2.380 -1.804
Fe -1.646 0.095 -0.568
Fe -1.945 -3.960 -2.334
Ga -1.935 -2.418 -0.294
Fe -3.943 -0.946 0.229
Fe -3.700 1.675 -0.038
```

Entry 9:
Material: SrHN
Method: DFT, GGA-PBEsol
State: relaxed

Output
- E (eV per atom) = -5.326
- calculated density (g/cm³) = 4.20
- density of states at the Fermi level (states/eV per cell) = 0.00
- SG = Pnma (62)

Geometry as extended XYZ:
```
12
Lattice="3.907 0.000 0.000 0.000 5.564 0.000 0.000 0.000 7.473" Properties=species:S:1:pos:R:3 pbc="T T T"
H 2.930 3.349 3.627
Sr 2.930 1.740 6.361
N 2.930 4.090 2.893
N 0.977 1.308 0.843
Sr 0.977 4.522 4.849
N 0.977 1.474 4.580
H 2.930 4.996 7.364
Sr 0.977 3.824 1.113
H 0.977 2.214 3.846
Sr 2.930 1.042 2.624
N 2.930 4.256 6.630
H 0.977 0.568 0.109
```

Entry 10:
Material: NaCe5S8
Method: DFT, GGA-PBEsol
State: relaxed

Output
- calculated density (g/cm³) = 5.53
- density of states at the Fermi level (states/eV per cell) = 25.29
- SG = I-4 (82)
- formation energy (no corrections) (kJ/mol of formula units) = -2630

Geometry as extended XYZ:
```
14
Lattice="7.260 0.005 0.000 -2.396 6.853 0.000 -2.432 -3.429 5.919" Properties=species:S:1:pos:R:3 pbc="T T T"
Ce 3.584 -1.313 5.200
S 0.531 1.730 1.455
S -0.975 -2.355 4.464
Ce 0.007 6.377 0.719
S 4.087 1.654 1.439
S -2.223 0.975 4.480
Na -1.198 3.427 2.960
Ce -1.166 -0.401 2.236
Ce 2.439 2.195 3.683
S 5.056 4.614 0.567
Ce 2.432 3.429 0.000
S 1.542 4.661 2.377
S 0.251 2.869 5.352
S 1.457 -0.432 3.542
```

Entry 11:
Material: Ba2PtBr
Method: DFT, GGA-PBEsol
State: relaxed

Output
- calculated density (g/cm³) = 7.28
- polymorph energy (0 for the lowest one) (eV/atom) = 0.1585
- density of states at the Fermi level (states/eV per cell) = 3.20
- SG = Amm2 (38)
- formation energy (no corrections) (kJ/mol of formula units) = -405

Geometry as extended XYZ:
```
4
Lattice="-1.137 3.824 -0.864 -2.665 -1.693 -3.984 -4.292 -2.561 3.959" Properties=species:S:1:pos:R:3 pbc="T T T"
Pt -4.220 0.756 -0.741
Br -0.685 1.897 -0.348
Ba -2.398 -0.320 1.740
Ba -1.360 -0.850 -1.972
```

Entry 12:
Material: Si3HgSb
Method: DFT, GGA-PBEsol
State: relaxed

Output
- calculated density (g/cm³) = 5.51
- polymorph energy (0 for the lowest one) (eV/atom) = 0.0000
- density of states at the Fermi level (states/eV per cell) = 2.34
- SG = Pm-3m (221)
- formation energy (no corrections) (kJ/mol of formula units) = 541

Geometry as extended XYZ:
```
5
Lattice="4.966 0.000 0.000 0.000 4.966 0.000 0.000 0.000 4.966" Properties=species:S:1:pos:R:3 pbc="T T T"
Sb 2.483 2.483 2.483
Si 0.000 0.000 2.483
Si 0.000 2.483 0.000
Hg 0.000 0.000 0.000
Si 2.483 0.000 0.000
```

calculated density of number 4 (ZrTa3I)? 10.64 g/cm³